No. 1
Below is an optimized crystal structure of Si2AsO, with properties calculated at the PBEsol level.

Results
Magnetic moment in μB per atom: 0.0000
Volume in Å³ per atom: 15.077
DOS at the Fermi energy in states/eV per cell: 3.09
SG: I-42d
Total DFT energy (no corrections) in eV per atom: -5.750

Geometry as extended XYZ:
```
8
Lattice="-3.658 0.510 2.416 0.750 -3.885 1.955 4.756 4.537 2.210" Properties=species:S:1:pos:R:3 pbc="T T T"
As 2.026 -0.517 3.176
As 0.000 0.000 0.000
Si 0.054 -2.015 3.447
Si -1.310 0.065 3.123
Si 3.289 2.535 2.429
Si 1.663 1.740 4.166
O -0.178 1.680 3.406
O -1.454 -1.687 2.186
```



No. 2
Below is an optimized crystal structure of Mg7Pb, with properties calculated at the PBEsol level.

Results
Energy of formation in eV/atom: -0.034
Magnetic moment in μB per atom: 0.0000
Volume in Å³ per atom: 23.037
DOS at the Fermi energy in states/eV per cell: 2.71
SG: Fm-3m
Total DFT energy (no corrections) in eV per atom: -2.036

Geometry as extended XYZ:
```
8
Lattice="-4.212 0.528 4.773 -2.037 -5.227 3.054 1.837 -1.103 6.018" Properties=species:S:1:pos:R:3 pbc="T T T"
Pb 0.000 0.000 0.000
Mg 0.919 -0.551 3.009
Mg -1.019 -2.614 1.527
Mg -2.106 0.264 2.386
Mg -3.125 -2.350 3.914
Mg -1.188 -0.287 5.395
Mg -0.100 -3.165 4.536
Mg -2.206 -2.901 6.922
```